Record 1
This record from Alexandria describes a geometry-optimized CoAuCl2 structure. The functional is PBE.

Values from the calculation:
Raw formation energy: -0.079 eV/atom
Energy relative to the lowest polymorph listed for this composition: 13 meV per atom
Theoretical density: 5.6 g/cm3

abc: 5.409 5.409 6.230
angles: 108.35 108.35 34.00
Fractional coordinates of all 4 atoms:
Co1 0.000 0.000 0.000
Au1 0.790 0.790 0.114
Cl1 0.426 0.426 0.748
Cl2 0.592 0.592 0.255

Record 2
This record from Alexandria describes a geometry-optimized CoAuCl2 structure. The functional is PBE.

Values from the calculation:
Raw formation energy: 0.594 eV/atom
Energy relative to the lowest polymorph listed for this composition: 686 meV per atom
Theoretical density: 7.4 g/cm3

abc: 4.692 4.692 4.692
angles: 60.00 60.00 60.00
Fractional coordinates of all 4 atoms:
Co1 0.000 0.000 0.000
Au1 0.750 0.750 0.750
Cl1 0.250 0.250 0.250
Cl2 0.500 0.500 0.500

Record 3
This record from Alexandria describes a geometry-optimized CoAuCl2 structure. The functional is PBE.

Values from the calculation:
Raw formation energy: 0.327 eV/atom
Energy relative to the lowest polymorph listed for this composition: 419 meV per atom
Theoretical density: 6.6 g/cm3

abc: 6.725 6.725 6.725
angles: 148.57 148.57 45.05
Fractional coordinates of all 4 atoms:
Co1 0.000 0.000 0.000
Au1 0.250 0.750 0.500
Cl1 0.500 0.500 0.000
Cl2 0.750 0.250 0.500

Record 4
This record from Alexandria describes a geometry-optimized CoAu3Cl structure. The functional is PBE.

Values from the calculation:
Raw formation energy: 0.805 eV/atom
Energy relative to the lowest polymorph listed for this composition: 0 meV per atom
Theoretical density: 10.1 g/cm3

abc: 4.831 4.831 4.831
angles: 90.00 90.00 90.00
Fractional coordinates of all 5 atoms:
Co1 0.000 0.000 0.000
Au1 0.000 0.000 0.500
Au2 0.000 0.500 0.000
Au3 0.500 0.000 0.000
Cl1 0.500 0.500 0.500

Record 5
This record from Alexandria describes a geometry-optimized CoAu2Cl structure. The functional is PBE.

Values from the calculation:
Raw formation energy: 0.118 eV/atom
Energy relative to the lowest polymorph listed for this composition: 8 meV per atom
Theoretical density: 10.0 g/cm3

abc: 3.834 3.036 6.943
angles: 90.00 90.26 90.00
Fractional coordinates of all 4 atoms:
Co1 0.000 0.000 0.000
Au1 0.499 0.500 0.834
Au2 0.997 0.000 0.620
Cl1 0.002 0.500 0.247

Record 6
This record from Alexandria describes a geometry-optimized Co5Au3Cl12 structure. The functional is PBE.

Values from the calculation:
Raw formation energy: -0.236 eV/atom
Theoretical density: 4.9 g/cm3

abc: 13.240 13.240 13.240
angles: 109.47 109.47 109.47
Fractional coordinates of all 80 atoms:
Co1 0.000 0.000 0.000
Co2 0.000 0.000 0.500
Co3 0.000 0.500 0.000
Co4 0.000 0.500 0.500
Co5 0.125 0.750 0.875
Co6 0.125 0.875 0.250
Co7 0.250 0.125 0.875
Co8 0.250 0.625 0.375
Co9 0.375 0.250 0.625
Co10 0.375 0.625 0.750
Co11 0.500 0.000 0.000
Co12 0.500 0.000 0.500
Co13 0.500 0.500 0.000
Co14 0.500 0.500 0.500
Co15 0.625 0.375 0.250
Co16 0.625 0.750 0.375
Co17 0.750 0.375 0.625
Co18 0.750 0.875 0.125
Co19 0.875 0.125 0.750
Co20 0.875 0.250 0.125
Au1 0.125 0.250 0.375
Au2 0.125 0.375 0.750
Au3 0.250 0.375 0.125
Au4 0.250 0.875 0.625
Au5 0.375 0.125 0.250
Au6 0.375 0.750 0.125
Au7 0.625 0.250 0.875
Au8 0.625 0.875 0.750
Au9 0.750 0.125 0.375
Au10 0.750 0.625 0.875
Au11 0.875 0.625 0.250
Au12 0.875 0.750 0.625
Cl1 0.020 0.196 0.127
Cl2 0.020 0.325 0.893
Cl3 0.069 0.696 0.675
Cl4 0.069 0.873 0.393
Cl5 0.107 0.627 0.431
Cl6 0.107 0.980 0.675
Cl7 0.127 0.020 0.196
Cl8 0.127 0.607 0.931
Cl9 0.175 0.196 0.569
Cl10 0.175 0.480 0.607
Cl11 0.196 0.127 0.020
Cl12 0.196 0.569 0.175
Cl13 0.304 0.325 0.931
Cl14 0.304 0.480 0.373
Cl15 0.325 0.893 0.020
Cl16 0.325 0.931 0.304
Cl17 0.373 0.304 0.480
Cl18 0.373 0.569 0.893
Cl19 0.393 0.069 0.873
Cl20 0.393 0.825 0.520
Cl21 0.431 0.107 0.627
Cl22 0.431 0.825 0.804
Cl23 0.480 0.373 0.304
Cl24 0.480 0.607 0.175
Cl25 0.520 0.393 0.825
Cl26 0.520 0.627 0.696
Cl27 0.569 0.175 0.196
Cl28 0.569 0.893 0.373
Cl29 0.607 0.175 0.480
Cl30 0.607 0.931 0.127
Cl31 0.627 0.431 0.107
Cl32 0.627 0.696 0.520
Cl33 0.675 0.069 0.696
Cl34 0.675 0.107 0.980
Cl35 0.696 0.520 0.627
Cl36 0.696 0.675 0.069
Cl37 0.804 0.431 0.825
Cl38 0.804 0.873 0.980
Cl39 0.825 0.520 0.393
Cl40 0.825 0.804 0.431
Cl41 0.873 0.393 0.069
Cl42 0.873 0.980 0.804
Cl43 0.893 0.020 0.325
Cl44 0.893 0.373 0.569
Cl45 0.931 0.127 0.607
Cl46 0.931 0.304 0.325
Cl47 0.980 0.675 0.107
Cl48 0.980 0.804 0.873

no.,size of the total moment (μB per formula unit)
1,0.0
2,2.2
3,2.2
4,1.9
5,2.1
6,14.0